Here is a relaxed structure of CaPaIrRh from Alexandria via LeMat-Bulk. Energies are from PBE.

Geometry as POSCAR:
```
CaPaIrRh
1.0
0.0000 3.4332 3.4332
3.4332 0.0000 3.4332
3.4332 3.4332 0.0000
Ca Pa Ir Rh
1 1 1 1
direct
0.0000 0.0000 0.0000 Ca
0.5000 0.5000 0.5000 Pa
0.2500 0.2500 0.2500 Ir
0.7500 0.7500 0.7500 Rh
```

Summary:
Its spin magnetization is 0.0001 μB per atom. As for the calculated total energy: -29.9 eV/cell. Its calculated formation energy is -0.551 eV/atom.